No. 1
A geometry-optimized PmTmN2 structure, computed with PBE.

Cell: 6.3182 6.3182 6.3182 Å, 31.70 31.70 31.70°
Fractional positions:
Pm (0.0000, 0.0000, 0.0000)
Tm (0.1705, 0.1705, 0.1705)
N (0.4272, 0.4272, 0.4272)
N (0.5884, 0.5884, 0.5884)

Calculated values
symmetry: R3m (160)
formation energy (no corrections): -1339 meV/atom

No. 2
A geometry-optimized PmTmN2 structure, computed with PBE.

Cell: 3.4476 3.4476 6.0719 Å, 90.00 90.00 120.00°
Fractional positions:
Pm (0.0000, 0.0000, 0.0000)
Tm (0.0000, 0.0000, 0.5000)
N (0.3333, 0.6667, 0.7376)
N (0.6667, 0.3333, 0.2624)

Calculated values
symmetry: P-3m1 (164)
formation energy (no corrections): -1252 meV/atom

No. 3
A geometry-optimized PmTm2N structure, computed with PBE.

Cell: 9.1758 9.1758 9.1758 Å, 21.66 21.66 21.66°
Fractional positions:
Pm (0.0000, 0.0000, 0.0000)
Tm (0.2164, 0.2164, 0.2164)
Tm (0.7836, 0.7836, 0.7836)
N (0.5000, 0.5000, 0.5000)

Calculated values
symmetry: R-3m (166)
formation energy (no corrections): -829 meV/atom

No. 4
A geometry-optimized PmTm2N structure, computed with PBE.

Cell: 3.1396 3.1396 8.7948 Å, 90.00 90.00 90.00°
Fractional positions:
Pm (0.0000, 0.0000, 0.0000)
Tm (0.5000, 0.5000, 0.3408)
Tm (0.5000, 0.5000, 0.6592)
N (0.0000, 0.0000, 0.5000)

Calculated values
symmetry: P4/mmm (123)
formation energy (no corrections): -205 meV/atom

No. 5
A geometry-optimized Pm4TmN5 structure, computed with PBE.

Cell: 6.1848 6.1848 6.1848 Å, 99.77 99.77 131.35°
Fractional positions:
Pm (0.1008, 0.7014, 0.8022)
Pm (0.2986, 0.1008, 0.3994)
Pm (0.7014, 0.8992, 0.6006)
Pm (0.8992, 0.2986, 0.1978)
Tm (0.4934, 0.4934, 0.0000)
N (0.0320, 0.0320, 0.0000)
N (0.2227, 0.4174, 0.6107)
N (0.4174, 0.8067, 0.1947)
N (0.6120, 0.2227, 0.8053)
N (0.8067, 0.6120, 0.3893)

Calculated values
symmetry: I4 (79)
formation energy (no corrections): -1492 meV/atom

No. 6
A geometry-optimized PmTmN2 structure, computed with PBE.

Cell: 6.9315 6.9315 6.9315 Å, 30.47 30.47 30.47°
Fractional positions:
Pm (0.0000, 0.0000, 0.0000)
Tm (0.5000, 0.5000, 0.5000)
N (0.1109, 0.1109, 0.1109)
N (0.8891, 0.8891, 0.8891)

Calculated values
symmetry: R-3m (166)
formation energy (no corrections): -625 meV/atom

No. 7
A geometry-optimized PmTm2N3 structure, computed with PBE.

Cell: 6.0217 6.0217 6.0207 Å, 99.59 99.59 120.01°
Fractional positions:
Pm (0.1669, 0.8331, 0.0000)
Pm (0.8331, 0.1669, 0.0000)
Tm (0.0000, 0.0000, 0.5000)
Tm (0.3351, 0.6649, 0.5000)
Tm (0.5000, 0.5000, 0.0000)
Tm (0.6649, 0.3351, 0.5000)
N (0.0888, 0.4138, 0.7414)
N (0.2610, 0.2610, 0.2581)
N (0.4138, 0.0888, 0.7414)
N (0.5862, 0.9112, 0.2586)
N (0.7390, 0.7390, 0.7419)
N (0.9112, 0.5862, 0.2586)

Calculated values
symmetry: C2/m (12)
formation energy (no corrections): -1667 meV/atom

No. 8
A geometry-optimized Pm3Tm2N4 structure, computed with PBE.

Cell: 3.5143 3.5143 14.7540 Å, 90.06 90.06 60.01°
Fractional positions:
Pm (0.0000, 0.0000, 0.0000)
Pm (0.3344, 0.3344, 0.3800)
Pm (0.6656, 0.6656, 0.6200)
Tm (0.3328, 0.3328, 0.8101)
Tm (0.6672, 0.6672, 0.1899)
N (0.0009, 0.0009, 0.2912)
N (0.3336, 0.3336, 0.1054)
N (0.6664, 0.6664, 0.8946)
N (0.9991, 0.9991, 0.7088)

Calculated values
symmetry: C2/m (12)
formation energy (no corrections): -1396 meV/atom

No. 9
A geometry-optimized PmTm3N4 structure, computed with PBE.

Cell: 5.9890 6.9226 5.9872 Å, 90.00 109.47 90.00°
Fractional positions:
Pm (0.0000, 0.1270, 0.2500)
Pm (0.0000, 0.8730, 0.7500)
Tm (0.0000, 0.3770, 0.7500)
Tm (0.0000, 0.6230, 0.2500)
Tm (0.5000, 0.1287, 0.7500)
Tm (0.5000, 0.3766, 0.2500)
Tm (0.5000, 0.6234, 0.7500)
Tm (0.5000, 0.8713, 0.2500)
N (0.2528, 0.3796, 0.5062)
N (0.2528, 0.6204, 0.0062)
N (0.2600, 0.1321, 0.9980)
N (0.2600, 0.8679, 0.4980)
N (0.7400, 0.1321, 0.5020)
N (0.7400, 0.8679, 0.0020)
N (0.7472, 0.3796, 0.9938)
N (0.7472, 0.6204, 0.4938)

Calculated values
symmetry: P2/c (13)
formation energy (no corrections): -1702 meV/atom

No. 10
A geometry-optimized PmTm5N6 structure, computed with PBE.

Cell: 5.9600 5.9600 5.9565 Å, 99.59 99.59 120.01°
Fractional positions:
Pm (0.0000, 0.0000, 0.0000)
Tm (0.1678, 0.8322, 0.5000)
Tm (0.3335, 0.6665, 0.0000)
Tm (0.5000, 0.5000, 0.5000)
Tm (0.6665, 0.3335, 0.0000)
Tm (0.8322, 0.1678, 0.5000)
N (0.0847, 0.4262, 0.2541)
N (0.2568, 0.2568, 0.7457)
N (0.4262, 0.0847, 0.2541)
N (0.5738, 0.9153, 0.7459)
N (0.7432, 0.7432, 0.2543)
N (0.9153, 0.5738, 0.7459)

Calculated values
symmetry: C2/m (12)
formation energy (no corrections): -1742 meV/atom

No. 11
A geometry-optimized Pm4Tm2N structure, computed with PBE.

Cell: 9.4255 9.4255 9.4255 Å, 149.48 149.48 43.71°
Fractional positions:
Pm (0.0000, 0.5000, 0.5000)
Pm (0.1362, 0.1362, 0.0000)
Pm (0.5000, 0.0000, 0.5000)
Pm (0.8638, 0.8638, 0.0000)
Tm (0.3377, 0.3377, 0.0000)
Tm (0.6623, 0.6623, 0.0000)
N (0.0000, 0.0000, 0.0000)

Calculated values
symmetry: I4/mmm (139)
formation energy (no corrections): -186 meV/atom

No. 12
A geometry-optimized Pm2Tm4N structure, computed with PBE.

Cell: 9.4888 9.4888 9.4888 Å, 151.23 151.23 41.14°
Fractional positions:
Pm (0.1745, 0.1745, 0.0000)
Pm (0.8255, 0.8255, 0.0000)
Tm (0.0000, 0.5000, 0.5000)
Tm (0.3701, 0.3701, 0.0000)
Tm (0.5000, 0.0000, 0.5000)
Tm (0.6299, 0.6299, 0.0000)
N (0.5000, 0.5000, 0.0000)

Calculated values
symmetry: I4/mmm (139)
formation energy (no corrections): -304 meV/atom

No. 13
A geometry-optimized Pm2TmN structure, computed with PBE.

Cell: 9.7725 9.7725 9.7725 Å, 20.90 20.90 20.90°
Fractional positions:
Pm (0.1188, 0.1188, 0.1188)
Pm (0.8812, 0.8812, 0.8812)
Tm (0.0000, 0.0000, 0.0000)
N (0.5000, 0.5000, 0.5000)

Calculated values
symmetry: R-3m (166)
formation energy (no corrections): -557 meV/atom

No. 14
A geometry-optimized PmTmN2 structure, computed with PBE.

Cell: 6.0848 6.0848 6.0848 Å, 33.51 33.51 33.51°
Fractional positions:
Pm (0.0000, 0.0000, 0.0000)
Tm (0.5000, 0.5000, 0.5000)
N (0.2457, 0.2457, 0.2457)
N (0.7543, 0.7543, 0.7543)

Calculated values
symmetry: R-3m (166)
formation energy (no corrections): -1602 meV/atom

No. 15
A geometry-optimized PmTm3N structure, computed with PBE.

Cell: 4.9074 4.9074 4.9074 Å, 90.00 90.00 90.00°
Fractional positions:
Pm (0.0000, 0.0000, 0.0000)
Tm (0.0000, 0.5000, 0.5000)
Tm (0.5000, 0.0000, 0.5000)
Tm (0.5000, 0.5000, 0.0000)
N (0.5000, 0.5000, 0.5000)

Calculated values
symmetry: Pm-3m (221)
formation energy (no corrections): -515 meV/atom

No. 16
A geometry-optimized PmTmVN3 structure, computed with PBE.

Cell: 7.2505 3.4332 7.5058 Å, 90.00 99.34 90.00°
Fractional positions:
Pm (0.1781, 0.2500, 0.1774)
Pm (0.8219, 0.7500, 0.8226)
Tm (0.3660, 0.7500, 0.8381)
Tm (0.6340, 0.2500, 0.1619)
V (0.0904, 0.2500, 0.5988)
V (0.9096, 0.7500, 0.4012)
N (0.1153, 0.2500, 0.8470)
N (0.1730, 0.7500, 0.5205)
N (0.4085, 0.7500, 0.1445)
N (0.5915, 0.2500, 0.8555)
N (0.8270, 0.2500, 0.4795)
N (0.8847, 0.7500, 0.1530)

Calculated values
symmetry: P2_1/m (11)
formation energy (no corrections): -1264 meV/atom

No. 17
A geometry-optimized PmTmW2N6 structure, computed with PBE.

Cell: 7.2503 7.2503 6.1752 Å, 104.17 104.17 82.79°
Fractional positions:
Pm (0.1961, 0.8039, 0.7500)
Pm (0.8039, 0.1961, 0.2500)
Tm (0.4136, 0.5864, 0.2500)
Tm (0.5864, 0.4136, 0.7500)
W (0.1182, 0.3027, 0.7536)
W (0.3027, 0.1182, 0.2536)
W (0.6973, 0.8818, 0.7464)
W (0.8818, 0.6973, 0.2464)
N (0.1234, 0.6042, 0.3380)
N (0.1286, 0.1541, 0.9785)
N (0.1541, 0.1286, 0.4785)
N (0.2853, 0.4979, 0.8563)
N (0.3958, 0.8766, 0.1620)
N (0.4979, 0.2853, 0.3563)
N (0.5021, 0.7147, 0.6437)
N (0.6042, 0.1234, 0.8380)
N (0.7147, 0.5021, 0.1437)
N (0.8459, 0.8714, 0.5215)
N (0.8714, 0.8459, 0.0215)
N (0.8766, 0.3958, 0.6620)

Calculated values
symmetry: C2/c (15)
formation energy (no corrections): -1021 meV/atom

No. 18
A geometry-optimized Pm2UN structure, computed with PBE.

Cell: 9.8958 9.8958 9.8958 Å, 19.72 19.72 19.72°
Fractional positions:
Pm (0.1173, 0.1173, 0.1173)
Pm (0.8827, 0.8827, 0.8827)
U (0.0000, 0.0000, 0.0000)
N (0.5000, 0.5000, 0.5000)

Calculated values
symmetry: R-3m (166)
formation energy (no corrections): -231 meV/atom

No. 19
A geometry-optimized PmUN structure, computed with PBE.

Cell: 6.5479 5.3065 7.4554 Å, 90.00 90.00 90.00°
Fractional positions:
Pm (0.1033, 0.2500, 0.1230)
Pm (0.3967, 0.7500, 0.6230)
Pm (0.6033, 0.2500, 0.3770)
Pm (0.8967, 0.7500, 0.8770)
U (0.0526, 0.2500, 0.6093)
U (0.4474, 0.7500, 0.1093)
U (0.5526, 0.2500, 0.8907)
U (0.9474, 0.7500, 0.3907)
N (0.1180, 0.7500, 0.1428)
N (0.3820, 0.2500, 0.6428)
N (0.6180, 0.7500, 0.3572)
N (0.8820, 0.2500, 0.8572)

Calculated values
symmetry: Pnma (62)
formation energy (no corrections): -578 meV/atom

No. 20
A geometry-optimized Pm5U3N8 structure, computed with PBE.

Cell: 7.0733 7.0733 7.0733 Å, 59.79 59.79 59.79°
Fractional positions:
Pm (0.0000, 0.0000, 0.0000)
Pm (0.0000, 0.5000, 0.5000)
Pm (0.5000, 0.0000, 0.5000)
Pm (0.5000, 0.5000, 0.0000)
Pm (0.5000, 0.5000, 0.5000)
U (0.0000, 0.0000, 0.5000)
U (0.0000, 0.5000, 0.0000)
U (0.5000, 0.0000, 0.0000)
N (0.2168, 0.7501, 0.7501)
N (0.2377, 0.2377, 0.2377)
N (0.2499, 0.2499, 0.7832)
N (0.2499, 0.7832, 0.2499)
N (0.7501, 0.2168, 0.7501)
N (0.7501, 0.7501, 0.2168)
N (0.7623, 0.7623, 0.7623)
N (0.7832, 0.2499, 0.2499)

Calculated values
symmetry: R-3m (166)
formation energy (no corrections): -1443 meV/atom

Magnetization (computed, μB per formula unit): 0.00, 0.00, 0.00, 0.00, 0.00, 0.81, 0.00, 0.00, 0.00, 0.00, 0.00, 0.00, 0.00, 0.00, 0.00, 0.00, 0.00, 2.73, 1.84, 1.74